This record from Alexandria via LeMat-Bulk describes an optimized crystal structure of K3Ni2PbF9. The functional is GGA+U.

Computed properties:
Calculated volume, Å³/f.u.: 241.41
Total DFT energy (no corrections), eV for the cell shown: -66.02
ρ, g cm⁻³: 4.22

```
K3Ni2PbF9
1.0
5.953 0.000 0.000
-2.976 5.155 0.000
0.000 0.000 7.867
Pb F K Ni
1 9 3 2
Direct
0.000 0.000 0.500
0.000 0.500 0.000
0.650 0.825 0.296
0.350 0.175 0.704
0.500 0.500 0.000
0.175 0.350 0.296
0.175 0.825 0.296
0.500 0.000 0.000
0.825 0.175 0.704
0.825 0.650 0.704
0.333 0.667 0.721
0.667 0.333 0.279
0.000 0.000 0.000
0.333 0.667 0.150
0.667 0.333 0.850
```